Compound: NbCu2AgSn
Source: the Alexandria database
Functional: PBE
Structure: relaxed

Cell lengths 4.807, 5.366, 4.807 Å; angles 90.00, 90.00, 90.00 degrees
Fractional positions:
Sn 0.000 0.500 0.000
Ag 0.500 0.500 0.500
Nb 0.000 0.000 0.000
Cu 0.000 0.000 0.500
Cu 0.500 0.000 0.000

Results
VASP energy: -3.871 eV/atom
formation enthalpy at 0 K: 111.14 kJ/mol of atoms
total moment: 0.00 μB/cell